## Cr3Cl5F (GGA+U)

Data for a relaxed structure of Cr3Cl5F.

Structure (POSCAR):
```
Cr3Cl5F
1.0
7.0320 0.5626 2.2393
1.7286 6.8394 2.2393
-0.2621 -0.2215 8.2446
Cr Cl F
6 10 2
Direct
0.3336 0.3336 0.1614 Cr
0.3335 0.3335 0.6588 Cr
0.0000 0.0000 0.0000 Cr
0.0000 0.0000 0.5000 Cr
0.6663 0.6663 0.8386 Cr
0.6665 0.6665 0.3412 Cr
0.6223 0.0273 0.6493 Cl
0.2976 0.7024 0.0000 Cl
0.2309 0.2309 0.9578 Cl
0.5634 0.5634 0.6393 Cl
0.4366 0.4366 0.3607 Cl
0.7691 0.7691 0.0422 Cl
0.0273 0.6223 0.6493 Cl
0.7024 0.2976 0.0000 Cl
0.3777 0.9727 0.3507 Cl
0.9727 0.3777 0.3507 Cl
0.9680 0.9680 0.2678 F
0.0320 0.0320 0.7322 F
```

Values from the calculation:
**Space group**: C2/m (12)
**Electronic total energy**: -5.08 eV per atom
**V**: 394.8 Å³ per cell